# PBE Ba3Ti5O12, relaxed
# Raw formation energy (kJ per mole of atoms): -285.5
# Magnetic moment (μB per formula unit): 2.02
# Total energy (eV per atom): -8.20
data_Ba3Ti5O12
_cell_length_a 13.338
_cell_length_b 13.338
_cell_length_c 13.338
_cell_angle_alpha 90.00
_cell_angle_beta 90.00
_cell_angle_gamma 90.00
_symmetry_space_group_name_H-M 'I a -3 d'
_symmetry_Int_Tables_number 230
_symmetry_space_group_name_Hall '-I 4bd 2c 3'
loop_
_atom_site_label
_atom_site_type_symbol
_atom_site_fract_x
_atom_site_fract_y
_atom_site_fract_z
_atom_site_occupancy
Ba1 Ba 0.000 0.250 0.125 1
Ti1 Ti 0.000 0.000 0.000 1
Ti2 Ti 0.000 0.250 0.375 1
O1 O 0.038 0.146 0.960 1